--- 1 ---
Entry from the Alexandria database: Th2InSb after structural relaxation (PBE).

Results
Space-group type: R-3m

extended XYZ file:
```
4
Lattice="-1.101 -1.762 4.007 2.402 -3.424 1.696 4.943 3.099 5.262" Properties=species:S:1:pos:R:3 pbc="T T T"
Th 1.569 -0.513 2.747
Th 4.675 -1.574 8.218
Sb 0.000 0.000 0.000
In 3.122 -1.044 5.483
```

=====

--- 2 ---
Entry from the Alexandria database: Th2InSb after structural relaxation (PBE).

Results
Space-group type: P4/mmm

extended XYZ file:
```
4
Lattice="-1.096 2.854 -2.168 1.019 -1.926 -3.050 -7.590 -3.272 -0.469" Properties=species:S:1:pos:R:3 pbc="T T T"
Sb -0.039 0.464 -2.609
Th -1.789 -0.771 -0.110
Th -5.801 -2.500 -0.358
In -3.834 -1.172 -2.844
```

=====

Most stable one: 2, least stable one: 1.

=====

--- 1 ---
Entry from the Alexandria database: ThInSb after structural relaxation (PBE).

Results
Space-group type: P3m1

extended XYZ file:
```
3
Lattice="3.527 0.000 0.000 0.000 5.251 0.000 0.000 -2.626 4.548" Properties=species:S:1:pos:R:3 pbc="T T T"
Th 1.175 0.000 3.032
In 2.944 0.000 0.000
Sb 2.934 2.626 1.516
```

=====

--- 2 ---
Entry from the Alexandria database: ThInSb after structural relaxation (PBE).

Results
Space-group type: R-3m

extended XYZ file:
```
6
Lattice="5.264 0.000 0.000 2.632 4.559 0.000 2.632 1.520 8.029" Properties=species:S:1:pos:R:3 pbc="T T T"
Sb 2.632 1.520 1.195
Sb 7.896 4.559 6.834
In 7.896 4.559 3.776
In 2.632 1.520 4.252
Th 5.264 3.039 2.028
Th 5.264 3.039 6.001
```

=====

Most stable one: 2, least stable one: 1.